Entry A
GGA-PBE Mg3BiPb, relaxed; SG = P2_1/c; total magnetization = 0.000 μB per atom
1.0
7.4656 0.0000 0.0000
0.0000 7.7002 0.0000
-2.4196 0.0000 9.5020
Mg Bi Pb
12 4 4
Cartesian
-0.8228 1.0166 3.6792
-2.0326 2.8335 8.4302
1.1761 0.2773 1.1735
-0.0337 3.5727 5.9245
1.4303 0.1959 5.8801
2.6401 3.6542 1.1291
2.4060 4.0460 8.3729
3.6158 7.5043 3.6219
5.0798 4.1274 3.5775
3.8700 7.4228 8.3285
7.0786 4.8667 1.0718
5.8689 6.6836 5.8228
0.7094 1.5761 8.3523
1.9192 2.2740 3.6013
3.1269 5.4262 5.9007
4.3366 6.1240 1.1497
-0.7931 5.7334 8.4934
0.4166 5.8168 3.7424
4.6294 1.8833 5.7596
5.8392 1.9667 1.0086

***

Entry B
GGA-PBE Mg3BiPb, relaxed; SG = Pm-3m; total magnetization = 0.000 μB per atom
1.0
5.5051 0.0000 0.0000
0.0000 5.5051 0.0000
0.0000 0.0000 5.5051
Mg Bi Pb
3 1 1
Cartesian
0.0000 0.0000 2.7525
0.0000 2.7525 0.0000
2.7525 0.0000 0.0000
0.0000 0.0000 0.0000
2.7525 2.7525 2.7525

***

Least stable = entry B

***

Entry A
GGA-PBE Mg3BiPb, relaxed; SG = P-1; total magnetization = 0.000 μB per atom
1.0
4.5563 0.0000 0.0000
-2.2568 8.1065 0.0000
-0.0132 -1.1277 8.5166
Mg Bi Pb
6 2 2
Cartesian
0.0056 0.7941 1.5617
0.0086 2.4882 4.9138
-0.0049 3.9345 7.8358
2.2911 3.0443 0.6808
2.2776 4.4905 3.6029
2.2806 6.1846 6.9549
0.0008 5.5270 5.1762
2.2854 1.4518 3.3405
-0.0019 0.9581 7.3890
2.2882 6.0207 1.1277

***

Entry B
GGA-PBE Mg3BiPb, relaxed; SG = Pm-3m; total magnetization = 0.000 μB per atom
1.0
5.3934 0.0000 0.0000
0.0000 5.3934 0.0000
0.0000 0.0000 5.3934
Mg Bi Pb
3 1 1
Cartesian
0.0000 0.0000 2.6967
0.0000 2.6967 0.0000
2.6967 0.0000 0.0000
2.6967 2.6967 2.6967
0.0000 0.0000 0.0000

***

Least stable = entry B

***

Entry A
GGA-PBE Mg2BiPb2, relaxed; SG = I4/mmm; total magnetization = 0.000 μB per atom
1.0
4.3137 0.0000 0.0000
0.0000 4.3137 0.0000
0.0000 0.0000 16.0449
Mg Bi Pb
4 2 4
Cartesian
0.0000 2.1569 4.0112
0.0000 2.1569 12.0337
2.1569 0.0000 4.0112
2.1569 0.0000 12.0337
0.0000 0.0000 0.0000
2.1569 2.1569 8.0225
0.0000 0.0000 6.3756
0.0000 0.0000 9.6693
2.1569 2.1569 1.6468
2.1569 2.1569 14.3981

***

Entry B
GGA-PBE Mg2BiPb2, relaxed; SG = C2/c; total magnetization = 0.000 μB per atom
1.0
4.4465 -7.4757 0.0000
4.4465 7.4757 0.0000
-3.2748 0.0000 4.3084
Mg Bi Pb
4 2 4
Cartesian
2.2237 1.0511 0.0002
0.5862 -1.0511 2.1544
5.0320 1.0511 2.1540
3.3945 -1.0511 4.3082
1.9904 5.9135 3.2313
3.6278 -5.9135 1.0771
3.6278 3.7356 1.0771
1.9904 1.6185 3.2313
3.6278 -1.6185 1.0771
1.9904 -3.7356 3.2313

***

Entry C
GGA-PBE Mg2BiPb2, relaxed; SG = P4/mbm; total magnetization = 0.000 μB per atom
1.0
9.0096 0.0000 0.0000
0.0000 9.0096 0.0000
0.0000 0.0000 3.4578
Mg Bi Pb
4 2 4
Cartesian
1.2348 3.2700 0.0000
3.2700 7.7748 0.0000
5.7396 1.2348 0.0000
7.7748 5.7396 0.0000
0.0000 0.0000 1.7289
4.5048 4.5048 1.7289
1.4442 5.9490 1.7289
3.0606 1.4442 1.7289
5.9490 7.5654 1.7289
7.5654 3.0606 1.7289

***

Least stable = entry A

***

Entry A
GGA-PBE Mg2Bi2Pb, relaxed; SG = P4/mbm; total magnetization = 0.000 μB per atom
1.0
9.0671 0.0000 0.0000
0.0000 9.0671 0.0000
0.0000 0.0000 3.5218
Mg Bi Pb
4 4 2
Cartesian
1.2281 3.3055 0.0000
3.3055 7.8390 0.0000
5.7616 1.2281 0.0000
7.8390 5.7616 0.0000
1.4767 6.0103 1.7609
3.0568 1.4767 1.7609
6.0103 7.5904 1.7609
7.5904 3.0568 1.7609
0.0000 0.0000 1.7609
4.5336 4.5336 1.7609

***

Entry B
GGA-PBE Mg2Bi2Pb, relaxed; SG = I4/mmm; total magnetization = 0.000 μB per atom
1.0
4.5330 0.0000 0.0000
0.0000 4.5330 0.0000
0.0000 0.0000 14.9059
Mg Bi Pb
4 4 2
Cartesian
0.0000 2.2665 3.7265
0.0000 2.2665 11.1794
2.2665 0.0000 3.7265
2.2665 0.0000 11.1794
0.0000 0.0000 1.7265
0.0000 0.0000 13.1794
2.2665 2.2665 5.7264
2.2665 2.2665 9.1795
0.0000 0.0000 7.4530
2.2665 2.2665 0.0000

***

Least stable = entry B

***

Entry A
GGA-PBE PuMgBiPb, relaxed; SG = F-43m; total magnetization = 1.458 μB per atom
1.0
7.6512 0.0000 0.0000
0.0000 7.6512 0.0000
0.0000 0.0000 7.6512
Pu Mg Bi Pb
4 4 4 4
Cartesian
0.0000 0.0000 0.0000
0.0000 3.8256 3.8256
3.8256 0.0000 3.8256
3.8256 3.8256 0.0000
0.0000 0.0000 3.8256
0.0000 3.8256 0.0000
3.8256 0.0000 0.0000
3.8256 3.8256 3.8256
1.9128 1.9128 1.9128
1.9128 5.7384 5.7384
5.7384 1.9128 5.7384
5.7384 5.7384 1.9128
1.9128 1.9128 5.7384
1.9128 5.7384 1.9128
5.7384 1.9128 1.9128
5.7384 5.7384 5.7384

***

Entry B
GGA-PBE PuMgBiPb, relaxed; SG = Pmmm; total magnetization = 1.384 μB per atom
1.0
4.4257 0.0000 0.0000
0.0000 4.8705 0.0000
0.0000 0.0000 5.0621
Pu Mg Bi Pb
1 1 1 1
Cartesian
0.0000 0.0000 0.0000
0.0000 2.4353 2.5310
2.2128 2.4353 0.0000
2.2128 0.0000 2.5310

***

Least stable = entry A

***

Entry A
GGA-PBE MgSnBiPb, relaxed; SG = F-43m; total magnetization = 0.000 μB per atom
1.0
7.7438 0.0000 0.0000
0.0000 7.7438 0.0000
0.0000 0.0000 7.7438
Mg Sn Bi Pb
4 4 4 4
Cartesian
0.0000 0.0000 0.0000
0.0000 3.8719 3.8719
3.8719 0.0000 3.8719
3.8719 3.8719 0.0000
1.9359 1.9359 1.9359
1.9359 5.8078 5.8078
5.8078 1.9359 5.8078
5.8078 5.8078 1.9359
1.9359 1.9359 5.8078
1.9359 5.8078 1.9359
5.8078 1.9359 1.9359
5.8078 5.8078 5.8078
0.0000 0.0000 3.8719
0.0000 3.8719 0.0000
3.8719 0.0000 0.0000
3.8719 3.8719 3.8719

***

Entry B
GGA-PBE MgSnBiPb, relaxed; SG = P4mm; total magnetization = 0.000 μB per atom
1.0
3.3942 0.0000 0.0000
0.0000 3.3942 0.0000
0.0000 0.0000 9.7879
Mg Sn Bi Pb
1 1 1 1
Cartesian
0.0000 0.0000 0.0000
1.6971 1.6971 2.0697
1.6971 1.6971 7.5302
0.0000 0.0000 4.6196

***

Least stable = entry A

***

Entry A
GGA-PBE ThMgBiPb, relaxed; SG = F-43m; total magnetization = 0.000 μB per atom
1.0
7.7407 0.0000 0.0000
0.0000 7.7407 0.0000
0.0000 0.0000 7.7407
Th Mg Bi Pb
4 4 4 4
Cartesian
0.0000 0.0000 0.0000
0.0000 3.8703 3.8703
3.8703 0.0000 3.8703
3.8703 3.8703 0.0000
0.0000 0.0000 3.8703
0.0000 3.8703 0.0000
3.8703 0.0000 0.0000
3.8703 3.8703 3.8703
1.9352 1.9352 5.8055
1.9352 5.8055 1.9352
5.8055 1.9352 1.9352
5.8055 5.8055 5.8055
1.9352 1.9352 1.9352
1.9352 5.8055 5.8055
5.8055 1.9352 5.8055
5.8055 5.8055 1.9352

***

Entry B
GGA-PBE ThMgBiPb, relaxed; SG = Pmmm; total magnetization = 0.000 μB per atom
1.0
4.3948 0.0000 0.0000
0.0000 5.0643 0.0000
0.0000 0.0000 5.1200
Th Mg Bi Pb
1 1 1 1
Cartesian
0.0000 0.0000 0.0000
0.0000 2.5322 2.5600
2.1974 2.5322 0.0000
2.1974 0.0000 2.5600

***

Least stable = entry A

***

Entry A
GGA-PBE MgTlBiPb, relaxed; SG = F-43m; total magnetization = 0.000 μB per atom
1.0
7.8085 0.0000 0.0000
0.0000 7.8085 0.0000
0.0000 0.0000 7.8085
Mg Tl Bi Pb
4 4 4 4
Cartesian
0.0000 0.0000 0.0000
0.0000 3.9043 3.9043
3.9043 0.0000 3.9043
3.9043 3.9043 0.0000
1.9521 1.9521 1.9521
1.9521 5.8564 5.8564
5.8564 1.9521 5.8564
5.8564 5.8564 1.9521
1.9521 1.9521 5.8564
1.9521 5.8564 1.9521
5.8564 1.9521 1.9521
5.8564 5.8564 5.8564
0.0000 0.0000 3.9043
0.0000 3.9043 0.0000
3.9043 0.0000 0.0000
3.9043 3.9043 3.9043

***

Entry B
GGA-PBE MgTlBiPb, relaxed; SG = P4mm; total magnetization = 0.000 μB per atom
1.0
3.5119 0.0000 0.0000
0.0000 3.5119 0.0000
0.0000 0.0000 9.5127
Mg Tl Bi Pb
1 1 1 1
Cartesian
0.0000 0.0000 0.0000
0.0000 0.0000 4.7014
1.7559 1.7559 7.4251
1.7559 1.7559 2.0923

***

Least stable = entry A

***

Entry A
GGA-PBE Mg2BiPd, relaxed; SG = I-42d; total magnetization = 0.000 μB per atom
1.0
7.8716 0.0000 0.0000
0.0000 7.8716 0.0000
0.0000 0.0000 5.9749
Mg Bi Pd
8 4 4
Cartesian
1.5737 1.9679 0.7469
1.9679 5.5095 2.2406
1.9679 6.2978 5.2281
2.3620 1.9679 3.7343
5.5095 5.9037 3.7343
5.9037 1.5737 5.2281
5.9037 2.3620 2.2406
6.2978 5.9037 0.7469
0.0000 0.0000 2.9875
0.0000 3.9358 4.4812
3.9358 0.0000 1.4937
3.9358 3.9358 0.0000
0.0000 0.0000 0.0000
0.0000 3.9358 1.4937
3.9358 0.0000 4.4812
3.9358 3.9358 2.9875

***

Entry B
GGA-PBE Mg2BiPd, relaxed; SG = R3m; total magnetization = 0.000 μB per atom
1.0
3.3473 0.0000 0.0000
-1.6736 2.8988 0.0000
0.0000 0.0000 27.8349
Mg Bi Pd
6 3 3
Cartesian
0.0000 0.0000 0.0000
0.0000 0.0000 5.5705
0.0000 1.9326 18.5566
0.0000 1.9326 24.1271
1.6736 0.9663 9.2783
1.6736 0.9663 14.8488
0.0000 0.0000 12.1006
0.0000 1.9326 2.8223
1.6736 0.9663 21.3789
0.0000 0.0000 16.6992
0.0000 1.9326 7.4209
1.6736 0.9663 25.9775

***

Entry C
GGA-PBE Mg2BiPd, relaxed; SG = P4/mmm; total magnetization = 0.000 μB per atom
1.0
4.4634 0.0000 0.0000
0.0000 4.4634 0.0000
0.0000 0.0000 4.1803
Mg Bi Pd
2 1 1
Cartesian
0.0000 2.2317 0.0000
2.2317 0.0000 0.0000
0.0000 0.0000 2.0902
2.2317 2.2317 2.0902

***

Entry D
GGA-PBE Mg2BiPd, relaxed; SG = P4/mmm; total magnetization = 0.000 μB per atom
1.0
3.2986 0.0000 0.0000
0.0000 3.2986 0.0000
0.0000 0.0000 7.9581
Mg Bi Pd
2 1 1
Cartesian
0.0000 0.0000 1.5070
0.0000 0.0000 6.4511
1.6493 1.6493 3.9791
1.6493 1.6493 0.0000

***

Least stable = entry A

***

Entry A
GGA-PBE Mg2BiPd, relaxed; SG = P2_1/m; total magnetization = 0.000 μB per atom
1.0
3.0970 0.0000 0.0000
0.0000 4.5558 0.0000
-0.0172 0.0000 12.8873
Mg Bi Pd
4 2 2
Cartesian
-0.0014 1.1389 1.1981
3.0812 3.4168 11.6892
0.0047 3.4168 3.3792
3.0751 1.1389 9.5080
1.5337 3.4168 7.8124
1.5461 1.1389 5.0749
1.5294 1.1389 11.7787
1.5504 3.4168 1.1086

***

Entry B
GGA-PBE Mg2BiPd, relaxed; SG = Fm-3m; total magnetization = 0.000 μB per atom
1.0
6.9546 0.0000 0.0000
0.0000 6.9546 0.0000
0.0000 0.0000 6.9546
Mg Bi Pd
8 4 4
Cartesian
1.7387 1.7387 1.7387
1.7387 1.7387 5.2160
1.7387 5.2160 1.7387
1.7387 5.2160 5.2160
5.2160 1.7387 1.7387
5.2160 1.7387 5.2160
5.2160 5.2160 1.7387
5.2160 5.2160 5.2160
0.0000 0.0000 0.0000
0.0000 3.4773 3.4773
3.4773 0.0000 3.4773
3.4773 3.4773 0.0000
0.0000 0.0000 3.4773
0.0000 3.4773 0.0000
3.4773 0.0000 0.0000
3.4773 3.4773 3.4773

***

Least stable = entry B

***

Entry A
GGA-PBE MgBiPd4, relaxed; SG = Cmcm; total magnetization = 0.000 μB per atom
1.0
1.5722 -8.3039 0.0000
1.5722 8.3039 0.0000
0.0000 0.0000 8.1222
Mg Bi Pd
2 2 8
Cartesian
1.5722 4.3645 6.0917
1.5722 -4.3645 2.0306
1.5722 1.1794 6.0917
1.5722 -1.1794 2.0306
0.0000 0.0000 0.0000
0.0000 0.0000 4.0611
1.5722 5.4210 0.3118
1.5722 5.4210 3.7493
1.5722 1.6849 2.0306
1.5722 -1.6849 6.0917
1.5722 -5.4210 4.3729
1.5722 -5.4210 7.8104

***

Entry B
GGA-PBE MgBiPd4, relaxed; SG = F-43m; total magnetization = 0.000 μB per atom
1.0
0.0000 3.8023 3.8023
3.8023 0.0000 3.8023
3.8023 3.8023 0.0000
Mg Bi Pd
1 1 4
Cartesian
0.0000 0.0000 0.0000
5.7034 5.7034 5.7034
2.8497 2.8497 2.8497
4.7549 4.7549 2.8497
4.7549 2.8497 4.7549
2.8497 4.7549 4.7549

***

Entry C
GGA-PBE MgBiPd4, relaxed; SG = C2/m; total magnetization = 0.000 μB per atom
1.0
9.3494 0.0000 0.0000
0.0000 3.8581 0.0000
-2.1203 0.0000 5.7761
Mg Bi Pd
2 2 8
Cartesian
0.0000 0.0000 0.0000
4.6747 1.9290 0.0000
-1.0602 0.0000 2.8880
3.6145 1.9290 2.8880
0.8692 1.9290 1.8238
-0.2358 1.9290 4.8727
2.7902 0.0000 0.9034
1.6852 0.0000 3.9523
5.5438 0.0000 1.8238
4.4388 0.0000 4.8727
7.4649 1.9290 0.9034
6.3599 1.9290 3.9523

***

Least stable = entry B